Entry 1:
Compound: NaCeZnIn
Source: the Alexandria database
Functional: PBE
Structure: relaxed

Calculated values
- ΔE_f (eV per atom) = -0.117
- density of states at the Fermi level (states/eV per cell) = 7.3

POSCAR file:
```
NaCeZnIn
1.0
-4.3812 0.2704 -2.8302
-4.2103 -2.7361 1.4371
-4.1915 2.4657 1.9051
Na Zn Ce In
1 1 1 1
direct
0.5000 0.5000 0.5000
0.7500 0.7500 0.7500
0.0000 0.0000 0.0000
0.2500 0.2500 0.2500
```

---

Entry 2:
Compound: TbYPd4
Source: the Alexandria database
Functional: PBE
Structure: relaxed

Calculated values
- ΔE_f (eV per atom) = -0.885
- excess energy over the best structure of this formula in the dataset (meV per atom) = 0
- density of states at the Fermi level (states/eV per cell) = 3.1

POSCAR file:
```
TbYPd4
1.0
4.1137 0.0000 -0.8434
0.0000 5.8017 0.0000
-0.1059 0.0000 9.9374
Tb Y Pd
2 2 8
direct
0.4222 0.2500 0.8443
0.5778 0.7500 0.1557
0.7247 0.2500 0.4494
0.2753 0.7500 0.5506
0.0000 0.0000 0.0000
0.0000 0.5000 0.0000
0.1477 0.0109 0.2953
0.8523 0.5109 0.7047
0.1477 0.4891 0.2953
0.8523 0.9891 0.7047
0.5738 0.2500 0.1475
0.4262 0.7500 0.8524
```

---

Entry 3:
Compound: EuPaBi2
Source: the Alexandria database
Functional: PBE
Structure: relaxed

Calculated values
- ΔE_f (eV per atom) = -0.374
- excess energy over the best structure of this formula in the dataset (meV per atom) = 115
- density of states at the Fermi level (states/eV per cell) = 4.7

POSCAR file:
```
EuPaBi2
1.0
3.3859 0.0000 0.0000
0.0000 5.9376 0.0000
0.0000 0.0000 5.9376
Eu Pa Bi
1 1 2
direct
0.5000 0.5000 0.5000
0.5000 0.0000 0.0000
0.0000 0.0000 0.5000
0.0000 0.5000 0.0000
```

---

Entry 4:
Compound: Rb2HgTeSe
Source: the Alexandria database
Functional: PBE
Structure: relaxed

Calculated values
- excess energy over the best structure of this formula in the dataset (meV per atom) = 0
- formation energy without anion corrections (eV/atom) = -0.800

POSCAR file:
```
Rb2HgTeSe
1.0
-3.8822 -2.1065 -1.6183
4.7400 -4.1013 -6.0325
-0.3078 -6.3544 9.0103
Rb Hg Te Se
4 2 2 2
direct
0.7500 0.8180 0.6034
0.7500 0.7891 0.0385
0.2500 0.1820 0.3966
0.2500 0.2109 0.9615
0.2500 0.4949 0.7416
0.7500 0.5051 0.2584
0.2500 0.7051 0.3023
0.7500 0.2949 0.6977
0.2500 0.8039 0.8190
0.7500 0.1961 0.1810
```

---

Entry 5:
Compound: SnSN
Source: the Alexandria database
Functional: PBE
Structure: relaxed

Calculated values
- excess energy over the best structure of this formula in the dataset (meV per atom) = 0
- formation energy without anion corrections (eV/atom) = -0.267

POSCAR file:
```
SnSN
1.0
4.1360 0.0000 0.0000
0.0000 8.2635 0.1894
0.0000 0.8302 10.3667
Sn S N
4 4 4
direct
0.7502 0.3589 0.6362
0.2502 0.1411 0.3638
0.2498 0.6411 0.3638
0.7498 0.8589 0.6362
0.7500 0.3897 0.3869
0.2500 0.1103 0.6131
0.2500 0.6103 0.6131
0.7500 0.8897 0.3869
0.4146 0.0515 0.0034
0.9146 0.4485 0.9966
0.5854 0.9485 0.9966
0.0854 0.5515 0.0034
```

---

Entry 6:
Compound: LiNd5
Source: the Alexandria database
Functional: PBE
Structure: relaxed

Calculated values
- ΔE_f (eV per atom) = 0.072
- density of states at the Fermi level (states/eV per cell) = 10.1

POSCAR file:
```
LiNd5
1.0
3.8114 0.0000 0.0000
0.0000 5.7995 0.0000
0.0000 -2.8997 8.9460
Nd Li
5 1
direct
0.0000 0.6812 0.3623
0.0000 0.3188 0.6377
0.5000 0.5000 0.0000
0.5000 0.1429 0.2858
0.5000 0.8571 0.7142
0.0000 0.0000 0.0000
```

---

Number 1: total magnetic moment 0.8 μB/f.u.. Number 2: total magnetic moment 0.0 μB/f.u.. Number 3: total magnetic moment 8.7 μB/f.u.. Number 4: total magnetic moment 0.0 μB/f.u.. Number 5: total magnetic moment 0.0 μB/f.u.. Number 6: total magnetic moment 0.0 μB/f.u..